Compound: Mg3TePb
Source: the Alexandria database
Functional: SCAN
Structure: PBEsol geometry

Values from the calculation:
calculated total energy: -126.9 eV for the cell shown
space group: Pm-3m
formation energy from raw total energies: 4.8 kcal/mol of atoms
crystal system: cubic
magnetization: 0.000 μB/atom

Structure (POSCAR):
```
Mg3TePb
1.0
5.3674 0.0000 0.0000
0.0000 5.3674 0.0000
0.0000 0.0000 5.3674
Te Mg Pb
1 3 1
direct
0.0000 0.0000 0.0000
0.0000 0.0000 0.5000
0.0000 0.5000 0.0000
0.5000 0.0000 0.0000
0.5000 0.5000 0.5000
```



Compound: MgTl2Pb
Source: the Alexandria database
Functional: SCAN
Structure: PBEsol geometry

Values from the calculation:
calculated total energy: -225.5 eV for the cell shown
space group: Imm2
energy of formation: -0.014 eV per atom
crystal system: orthorhombic
magnetization: 0.000 μB/atom

Structure (POSCAR):
```
MgTl2Pb
1.0
-0.4020 -1.9800 3.0843
4.1357 -3.1391 -1.4761
1.5612 5.8673 1.7662
Tl Pb Mg
2 1 1
direct
0.0029 0.0029 0.0058
0.7646 0.2646 0.5291
0.2352 0.7352 0.4704
0.4973 0.4973 0.9947
```



Compound: Mg4TlPb
Source: the Alexandria database
Functional: SCAN
Structure: PBEsol geometry

Values from the calculation:
calculated total energy: -168.0 eV for the cell shown
space group: F-43m
energy of formation: 0.007 eV per atom
crystal system: cubic
magnetization: 0.000 μB/atom

Structure (POSCAR):
```
Mg4TlPb
1.0
5.9242 0.0000 0.0000
2.9621 5.1305 0.0000
2.9621 1.7102 4.8371
Mg Pb Tl
4 1 1
direct
0.3750 0.8750 0.3750
0.3750 0.3750 0.8750
0.8750 0.3750 0.3750
0.3750 0.3750 0.3750
0.7500 0.7500 0.7500
0.0000 0.0000 0.0000
```



Compound: MgTl2Pb
Source: the Alexandria database
Functional: SCAN
Structure: PBEsol geometry

Values from the calculation:
calculated total energy: -225.6 eV for the cell shown
space group: R-3m
energy of formation: -0.028 eV per atom
crystal system: trigonal
magnetization: 0.000 μB/atom

Structure (POSCAR):
```
MgTl2Pb
1.0
3.4436 0.0000 0.0000
1.7218 2.9822 0.0000
1.7218 0.9941 10.4699
Mg Tl Pb
1 2 1
direct
0.5000 0.5000 0.5000
0.7551 0.7551 0.7347
0.2449 0.2449 0.2653
0.0000 0.0000 0.0000
```



Compound: MgTl2Pb
Source: the Alexandria database
Functional: SCAN
Structure: PBEsol geometry

Values from the calculation:
calculated total energy: -225.6 eV for the cell shown
space group: Cm
energy of formation: -0.023 eV per atom
crystal system: monoclinic
magnetization: 0.000 μB/atom

Structure (POSCAR):
```
MgTl2Pb
1.0
3.4085 0.0000 0.0000
-1.7042 5.5276 -0.0382
0.0000 -1.2218 5.7210
Pb Mg Tl
1 1 2
direct
0.7580 0.5159 0.2601
0.5016 0.0031 0.4999
0.9987 0.9974 0.9952
0.2417 0.4835 0.7448
```



Compound: MgTl2Pb
Source: the Alexandria database
Functional: SCAN
Structure: PBEsol geometry

Values from the calculation:
calculated total energy: -225.5 eV for the cell shown
space group: I-4m2
energy of formation: -0.008 eV per atom
crystal system: tetragonal
magnetization: 0.000 μB/atom

Structure (POSCAR):
```
MgTl2Pb
1.0
4.8215 0.0000 0.0000
0.0000 4.8215 0.0000
-2.4107 -2.4107 4.6150
Mg Tl Pb
1 2 1
direct
0.5000 0.5000 0.0000
0.0000 0.0000 0.0000
0.7500 0.2500 0.5000
0.2500 0.7500 0.5000
```